[1]
The following is a DFT calculation (PBE-GGA) of Re2SbRu after structural relaxation.

a = 2.9626 Å, b = 3.9197 Å, c = 5.6104 Å
α = 90.00°, β = 90.79°, γ = 90.00°
Element x y z (fractional)
Re: 0.0000 0.0000 0.0000
Re: 0.4467 0.5000 0.1851
Sb: 0.4761 0.5000 0.6927
Ru: 0.9718 0.0000 0.4821

Output
* formation energy from raw total energies: 0.3737 eV per atom
* M_tot: 0.0 μB per cell
* electronic total energy: -9.200 eV per atom
* volume: 65 Å³/cell

[2]
The following is a DFT calculation (PBE-GGA) of ReSb2Ru after structural relaxation.

a = 5.0591 Å, b = 5.0591 Å, c = 4.6851 Å
α = 103.24°, β = 103.24°, γ = 37.97°
Element x y z (fractional)
Re: 0.0000 0.0000 0.0000
Sb: 0.4952 0.4952 0.4913
Sb: 0.7345 0.7345 0.1014
Ru: 0.2321 0.2321 0.5947

Output
* formation energy from raw total energies: 0.3261 eV per atom
* M_tot: 0.0 μB per cell
* electronic total energy: -7.166 eV per atom
* polymorph energy (0 for the lowest one): 128 meV/atom
* volume: 72 Å³/cell

[3]
The following is a DFT calculation (PBE-GGA) of ReSb2Ru after structural relaxation.

a = 3.1836 Å, b = 4.9579 Å, c = 4.5971 Å
α = 90.00°, β = 90.00°, γ = 90.00°
Element x y z (fractional)
Re: 0.0000 0.0000 0.0000
Sb: 0.0000 0.5000 0.2517
Sb: 0.5000 0.0000 0.5182
Ru: 0.5000 0.5000 0.7714

Output
* formation energy from raw total energies: 0.3200 eV per atom
* M_tot: 0.0 μB per cell
* electronic total energy: -7.172 eV per atom
* polymorph energy (0 for the lowest one): 122 meV/atom
* volume: 73 Å³/cell

[4]
The following is a DFT calculation (PBE-GGA) of Re2SnSbRu after structural relaxation.

a = 4.8995 Å, b = 4.8995 Å, c = 4.8039 Å
α = 90.00°, β = 90.00°, γ = 90.00°
Element x y z (fractional)
Re: 0.0000 0.5000 0.0000
Re: 0.5000 0.0000 0.0000
Sn: 0.0000 0.0000 0.5000
Sb: 0.5000 0.5000 0.0000
Ru: 0.5000 0.5000 0.5000

Output
* formation energy from raw total energies: 2.0441 eV per atom
* M_tot: 2.4 μB per cell
* electronic total energy: -6.415 eV per atom
* volume: 115 Å³/cell

[5]
The following is a DFT calculation (PBE-GGA) of ReTc2SbRu after structural relaxation.

a = 4.7087 Å, b = 4.7087 Å, c = 4.6270 Å
α = 90.00°, β = 90.00°, γ = 90.00°
Element x y z (fractional)
Re: 0.0000 0.0000 0.0000
Tc: 0.0000 0.5000 0.5000
Tc: 0.5000 0.0000 0.5000
Sb: 0.5000 0.5000 0.5000
Ru: 0.5000 0.5000 0.0000

Output
* formation energy from raw total energies: 2.3918 eV per atom
* M_tot: 0.0 μB per cell
* electronic total energy: -6.924 eV per atom
* volume: 103 Å³/cell

[6]
The following is a DFT calculation (PBE-GGA) of TiReSbRu after structural relaxation.

a = 4.4738 Å, b = 4.4738 Å, c = 4.4738 Å
α = 60.00°, β = 60.00°, γ = 60.00°
Element x y z (fractional)
Ti: 0.0000 0.0000 0.0000
Re: 0.2500 0.2500 0.2500
Sb: 0.5000 0.5000 0.5000
Ru: 0.7500 0.7500 0.7500

Output
* formation energy from raw total energies: -0.2596 eV per atom
* M_tot: 0.0 μB per cell
* electronic total energy: -8.695 eV per atom
* volume: 63 Å³/cell

[7]
The following is a DFT calculation (PBE-GGA) of ScRe2Ru after structural relaxation.

a = 2.7657 Å, b = 2.7657 Å, c = 8.8736 Å
α = 90.00°, β = 90.00°, γ = 112.23°
Element x y z (fractional)
Sc: 0.0000 0.0000 0.0000
Re: 0.0000 0.0000 0.4909
Re: 0.5000 0.5000 0.7326
Ru: 0.5000 0.5000 0.2460

Output
* M_tot: 0.0 μB per cell
* electronic total energy: -9.985 eV per atom
* ΔE_f: 0.141 eV per atom
* polymorph energy (0 for the lowest one): 244 meV/atom
* volume: 63 Å³/cell

[8]
The following is a DFT calculation (PBE-GGA) of ScReRu3 after structural relaxation.

a = 4.4607 Å, b = 4.4607 Å, c = 4.4607 Å
α = 90.00°, β = 90.00°, γ = 90.00°
Element x y z (fractional)
Sc: 0.0000 0.0000 0.0000
Re: 0.5000 0.5000 0.5000
Ru: 0.0000 0.0000 0.5000
Ru: 0.0000 0.5000 0.0000
Ru: 0.5000 0.0000 0.0000

Output
* M_tot: 0.0 μB per cell
* electronic total energy: -7.416 eV per atom
* ΔE_f: 1.905 eV per atom
* polymorph energy (0 for the lowest one): 938 meV/atom
* volume: 89 Å³/cell

[9]
The following is a DFT calculation (PBE-GGA) of ScRe2Ru after structural relaxation.

a = 5.2248 Å, b = 5.2248 Å, c = 5.2248 Å
α = 137.87°, β = 137.87°, γ = 61.11°
Element x y z (fractional)
Sc: 0.0000 0.0000 0.0000
Re: 0.2500 0.7500 0.5000
Re: 0.7500 0.2500 0.5000
Ru: 0.5000 0.5000 0.0000

Output
* M_tot: 0.0 μB per cell
* electronic total energy: -10.053 eV per atom
* ΔE_f: 0.073 eV per atom
* polymorph energy (0 for the lowest one): 177 meV/atom
* volume: 63 Å³/cell

[10]
The following is a DFT calculation (PBE-GGA) of Sc4ReRu after structural relaxation.

a = 5.3968 Å, b = 5.3968 Å, c = 5.3968 Å
α = 60.00°, β = 60.00°, γ = 60.00°
Element x y z (fractional)
Sc: 0.1248 0.1248 0.1248
Sc: 0.1248 0.1248 0.6257
Sc: 0.1248 0.6257 0.1248
Sc: 0.6257 0.1248 0.1248
Re: 0.7500 0.7500 0.7500
Ru: 0.5000 0.5000 0.5000

Output
* M_tot: 0.0 μB per cell
* electronic total energy: -7.225 eV per atom
* ΔE_f: 0.617 eV per atom
* volume: 111 Å³/cell

[11]
The following is a DFT calculation (PBE-GGA) of ScRe4Ru after structural relaxation.

a = 5.1916 Å, b = 5.1916 Å, c = 5.1916 Å
α = 60.00°, β = 60.00°, γ = 60.00°
Element x y z (fractional)
Sc: 0.0000 0.0000 0.0000
Re: 0.1222 0.6259 0.6259
Re: 0.6259 0.1222 0.6259
Re: 0.6259 0.6259 0.1222
Re: 0.6259 0.6259 0.6259
Ru: 0.2500 0.2500 0.2500

Output
* M_tot: 0.0 μB per cell
* electronic total energy: -10.782 eV per atom
* ΔE_f: 0.118 eV per atom
* volume: 99 Å³/cell

[12]
The following is a DFT calculation (PBE-GGA) of ScRe2Ru after structural relaxation.

a = 4.9878 Å, b = 4.9878 Å, c = 4.9854 Å
α = 110.54°, β = 110.54°, γ = 33.58°
Element x y z (fractional)
Sc: 0.0000 0.0000 0.0000
Re: 0.2178 0.2178 0.6093
Re: 0.4603 0.4603 0.4914
Ru: 0.7481 0.7481 0.0861

Output
* M_tot: 0.0 μB per cell
* electronic total energy: -10.102 eV per atom
* ΔE_f: 0.024 eV per atom
* polymorph energy (0 for the lowest one): 127 meV/atom
* volume: 64 Å³/cell